Entry 1:
Computed, not measured: a geometry-optimized SmTmGaTc structure at the GGA-PBE level of DFT.

Cell lengths 4.970, 4.970, 4.970 Å; angles 60.00, 60.00, 60.00 degrees
Fractional positions:
Ga (0.250, 0.250, 0.250)
Tm (0.000, 0.000, 0.000)
Sm (0.500, 0.500, 0.500)
Tc (0.750, 0.750, 0.750)

Calculated values
**Volume**: 86.8 Å³ per cell
**E_form**: -0.201 eV/atom
**Total energy**: -23.387 eV per formula unit
**Crystal system**: cubic

***

Entry 2:
Computed, not measured: a geometry-optimized HfCuAg2Br structure at the GGA-PBE level of DFT.

Cell lengths 5.406, 5.042, 5.406 Å; angles 90.00, 90.00, 90.00 degrees
Fractional positions:
Br (0.500, 0.500, 0.500)
Ag (0.500, 0.000, 0.000)
Cu (0.000, 0.500, 0.000)
Hf (0.000, 0.000, 0.000)
Ag (0.000, 0.000, 0.500)

Calculated values
**Volume**: 147.3 Å³ per cell
**Polymorph energy (0 for the lowest one)**: 12.3 meV per atom
**Total energy**: -15.875 eV per formula unit
**E_form (uncorrected)**: 1110 meV per atom
**Crystal system**: tetragonal

***

Entry 3:
Computed, not measured: a geometry-optimized Ta3OsN structure at the GGA-PBE level of DFT.

Cell lengths 4.818, 4.818, 4.818 Å; angles 90.00, 90.00, 90.00 degrees
Fractional positions:
Ta (0.000, 0.000, 0.500)
Ta (0.000, 0.500, 0.000)
Os (0.000, 0.000, 0.000)
Ta (0.500, 0.000, 0.000)
N (0.500, 0.500, 0.500)

Calculated values
**Volume**: 111.9 Å³ per cell
**Polymorph energy (0 for the lowest one)**: 2655.2 meV per atom
**Total energy**: -44.149 eV per formula unit
**E_form (uncorrected)**: 2193 meV per atom
**Crystal system**: cubic

***

Entry 4:
Computed, not measured: a geometry-optimized CaCePb structure at the GGA-PBE level of DFT.

Cell lengths 3.789, 5.429, 5.429 Å; angles 120.00, 90.00, 90.00 degrees
Fractional positions:
Ca (0.409, 0.333, 0.667)
Pb (0.634, 0.667, 0.333)
Ce (0.956, 0.000, 0.000)

Calculated values
**Volume**: 96.7 Å³ per cell
**E_form**: -0.171 eV/atom
**Total energy**: -12.158 eV per formula unit
**Crystal system**: trigonal

***

Entry 5:
Computed, not measured: a geometry-optimized ZrAlI2N structure at the GGA-PBE level of DFT.

Cell lengths 6.012, 6.012, 4.041 Å; angles 90.00, 90.00, 90.00 degrees
Fractional positions:
I (0.000, 0.500, 0.000)
N (0.000, 0.000, 0.500)
I (0.500, 0.000, 0.000)
Zr (0.000, 0.000, 0.000)
Al (0.500, 0.500, 0.500)

Calculated values
**Volume**: 146.0 Å³ per cell
**Polymorph energy (0 for the lowest one)**: 0.0 meV per atom
**Total energy**: -24.319 eV per formula unit
**E_form (uncorrected)**: -120 meV per atom
**Crystal system**: tetragonal

***

Entry 6:
Computed, not measured: a geometry-optimized SmDy2S4 structure at the GGA-PBE level of DFT.

Cell lengths 3.867, 12.020, 14.032 Å; angles 90.00, 90.00, 90.00 degrees
Fractional positions:
Sm (0.250, 0.747, 0.332)
Sm (0.750, 0.753, 0.832)
S (0.750, 0.097, 0.078)
Dy (0.250, 0.904, 0.594)
Dy (0.750, 0.096, 0.406)
S (0.250, 0.545, 0.217)
Dy (0.750, 0.596, 0.094)
S (0.250, 0.045, 0.283)
Dy (0.250, 0.437, 0.386)
Dy (0.750, 0.063, 0.886)
S (0.250, 0.403, 0.578)
S (0.750, 0.370, 0.044)
S (0.250, 0.700, 0.687)
S (0.750, 0.800, 0.187)
S (0.250, 0.630, 0.956)
S (0.750, 0.300, 0.313)
S (0.750, 0.955, 0.717)
S (0.750, 0.455, 0.783)
S (0.250, 0.130, 0.544)
S (0.250, 0.200, 0.813)
S (0.750, 0.870, 0.456)
Sm (0.250, 0.247, 0.168)
Dy (0.250, 0.937, 0.114)
Dy (0.750, 0.563, 0.614)
Sm (0.750, 0.253, 0.668)
Dy (0.250, 0.404, 0.906)
S (0.750, 0.597, 0.422)
S (0.250, 0.903, 0.922)

Calculated values
**Volume**: 652.3 Å³ per cell
**Polymorph energy (0 for the lowest one)**: 24.1 meV per atom
**Total energy**: -44.720 eV per formula unit
**E_form (uncorrected)**: -2041 meV per atom
**Crystal system**: orthorhombic